# ZnCoIO2 GGA+U optimized geometry
# DFT total energy = -3.6754 eV per atom
# total moment = 4.00 μB per cell
data_ZnCoIO2
_chemical_formula_sum 'Zn1 Co1 I1 O2'
_cell_length_a 3.8238
_cell_length_b 3.8238
_cell_length_c 6.0609
_cell_angle_alpha 90.00
_cell_angle_beta 90.00
_cell_angle_gamma 90.00
_space_group_name_H-M_alt 'P 1'
_space_group_IT_number 1
_space_group_name_Hall 'P 1'
loop_
_atom_site_label
_atom_site_type_symbol
_atom_site_fract_x
_atom_site_fract_y
_atom_site_fract_z
O1 O 0.5000 0.0000 0.0000
O2 O 0.0000 0.5000 0.0000
Co1 Co 0.0000 0.0000 0.0000
Zn1 Zn 0.5000 0.5000 0.5000
I1 I 0.0000 0.0000 0.5000